1.
The following is a DFT calculation (GGA-PBE) of Rb2HgH2Cl6 after structural relaxation.

The structure belongs to space group R-3m (No. 166, hexagonal axes); the cell edges are 6.8312, 6.8312 and 20.7753 Å and the angles 90.00°, 90.00° and 120.00°. The asymmetric unit holds Rb at (0.0000, 0.0000, 0.2266), Hg at (0.0000, 0.0000, 0.0000), H at (0.0000, 0.0000, 0.4109) and Cl at (0.0245, 0.5123, 0.2514).

The crystal system is trigonal.


2.
The following is a DFT calculation (GGA-PBE) of Rb2HgH2Cl4 after structural relaxation.

The structure belongs to space group I4/mmm (No. 139); the cell edges are 7.957, 7.957 and 8.383 Å and the angles 90.00°, 90.00° and 90.00°. The asymmetric unit holds Rb at (0.000, 0.500, 0.250), Hg at (0.000, 0.000, 0.000), H at (0.000, 0.000, 0.455) and Cl at (0.229, 0.229, 0.000).

The crystal system is tetragonal.


3.
The following is a DFT calculation (GGA-PBE) of Rb2HgHCl5 after structural relaxation.

The structure belongs to space group Cmc2_1 (No. 36); the cell edges are 4.573, 16.976 and 13.990 Å and the angles 90.00°, 90.00° and 90.00°. The asymmetric unit holds Rb at (0.000, 0.127, 0.000), Rb at (0.000, 0.131, 0.657), Hg at (0.000, 0.168, 0.356), H at (0.000, 0.418, 0.652), Cl at (0.000, 0.028, 0.342), Cl at (0.000, 0.312, 0.333), Cl at (0.000, 0.317, 0.985), Cl at (0.000, 0.325, 0.688) and Cl at (0.000, 0.494, 0.600).

The crystal system is orthorhombic.


4.
The following is a DFT calculation (GGA-PBE) of HgHSCl2 after structural relaxation.

The structure belongs to space group P4/mmm (No. 123); the cell edges are 5.301, 5.301 and 3.306 Å and the angles 90.00°, 90.00° and 90.00°. The asymmetric unit holds Hg at (0.000, 0.000, 0.000), H at (0.500, 0.500, 0.500), S at (0.500, 0.500, 0.000) and Cl at (0.000, 0.500, 0.500).

The crystal system is tetragonal. The energy relative to the lowest polymorph listed for this composition comes out at 0 meV/atom.


5.
The following is a DFT calculation (GGA-PBE) of HgHSCl2 after structural relaxation.

The structure belongs to space group P4/mmm (No. 123); the cell edges are 5.294, 5.294 and 5.101 Å and the angles 90.00°, 90.00° and 90.00°. The asymmetric unit holds Hg at (0.000, 0.000, 0.000), H at (0.500, 0.500, 0.500), S at (0.000, 0.000, 0.500) and Cl at (0.000, 0.500, 0.000).

The crystal system is tetragonal. The energy relative to the lowest polymorph listed for this composition comes out at 299 meV/atom.


6.
The following is a DFT calculation (GGA-PBE) of HgHSCl after structural relaxation.

The structure belongs to space group P1 (No. 1); the cell edges are 4.206, 4.336 and 6.505 Å and the angles 92.18°, 107.55° and 102.74°. The asymmetric unit holds Hg at (0.000, 0.000, 0.000), H at (0.483, 0.060, 0.612), S at (0.562, 0.242, 0.804) and Cl at (0.361, 0.741, 0.256).

The crystal system is triclinic.


7.
The following is a DFT calculation (GGA-PBE) of Hg2SbHCl after structural relaxation.

The structure belongs to space group P4/mmm (No. 123); the cell edges are 5.642, 5.642 and 3.900 Å and the angles 90.00°, 90.00° and 90.00°. The asymmetric unit holds Hg at (0.000, 0.500, 0.000), Sb at (0.000, 0.000, 0.000), H at (0.000, 0.000, 0.500) and Cl at (0.500, 0.500, 0.500).

The crystal system is tetragonal.


8.
The following is a DFT calculation (GGA-PBE) of HgHSeCl after structural relaxation.

The structure belongs to space group Cm (No. 8); the cell edges are 8.875, 4.302 and 5.811 Å and the angles 90.00°, 98.03° and 90.00°. The asymmetric unit holds Hg at (0.000, 0.000, 0.000), H at (0.486, 0.000, 0.599), Se at (0.104, 0.500, 0.810) and Cl at (0.352, 0.500, 0.327).

The crystal system is monoclinic.


9.
The following is a DFT calculation (GGA-PBE) of TcHg2HCl after structural relaxation.

The structure belongs to space group P4/mmm (No. 123); the cell edges are 5.143, 5.143 and 3.379 Å and the angles 90.00°, 90.00° and 90.00°. The asymmetric unit holds Tc at (0.000, 0.000, 0.000), Hg at (0.000, 0.500, 0.500), H at (0.000, 0.000, 0.500) and Cl at (0.500, 0.500, 0.000).

The crystal system is tetragonal.


10.
The following is a DFT calculation (GGA-PBE) of HoHCl after structural relaxation.

The structure belongs to space group C2/m (No. 12); the cell edges are 19.692, 3.591 and 6.972 Å and the angles 90.00°, 102.04° and 90.00°. The asymmetric unit holds Ho at (0.176, 0.000, 0.093), Ho at (0.187, 0.000, 0.580), H at (0.249, 0.500, 0.120), H at (0.249, 0.500, 0.636), Cl at (0.075, 0.000, 0.280) and Cl at (0.110, 0.500, 0.792).

The crystal system is monoclinic.


11.
The following is a DFT calculation (GGA-PBE) of HoHCl2 after structural relaxation.

The structure belongs to space group R3m (No. 160, hexagonal axes); the cell edges are 3.7280, 3.7280 and 21.2977 Å and the angles 90.00°, 90.00° and 120.00°. The asymmetric unit holds Ho at (0.0000, 0.0000, 0.0000), H at (0.0000, 0.0000, 0.3334), Cl at (0.0000, 0.0000, 0.5844) and Cl at (0.0000, 0.0000, 0.7489).

The crystal system is trigonal.


12.
The following is a DFT calculation (GGA-PBE) of HoH2Cl6 after structural relaxation.

The structure belongs to space group C2/c (No. 15); the cell edges are 12.604, 11.380 and 7.134 Å and the angles 90.00°, 98.73° and 90.00°. The asymmetric unit holds Ho at (0.000, 0.091, 0.250), H at (0.121, 0.450, 0.367), Cl at (0.114, 0.071, 0.964), Cl at (0.120, 0.434, 0.856) and Cl at (0.124, 0.262, 0.385).

The crystal system is monoclinic.


Result set for DFT total energy: -2.7055, -2.8650, -2.8384, -1.9068, -1.6074, -2.7457, -2.0436, -2.5223, -2.7727, -4.4934, -4.6841, -3.5965 eV/atom, one per record in the order listed.